4
Lattice="4.005 0.000 0.000 0.000 4.005 0.000 0.000 0.000 8.000" Properties=species:S:1:pos:R:3 comment="AcCeTlIn PBE optimized geometry" magnetic_moment_mub_per_fu=1.09 crystal_system=tetragonal e_above_lowest_polymorph_mev_per_atom=0 volume_a3_per_atom=32.08 n_ef_per_ev_atom=2.45 formation_energy_ev_per_atom=-0.3092 pbc="T T T"
Tl 0.000 0.000 6.705
In 0.000 0.000 2.996
Ce 2.003 2.003 4.838
Ac 2.003 2.003 0.885



6
Lattice="15.358 -0.002 -0.001 14.653 4.600 -0.001 14.653 2.245 4.015" Properties=species:S:1:pos:R:3 comment="PbI2 PBE optimized geometry" magnetic_moment_mub_per_fu=0.00 crystal_system=trigonal formation_energy_uncorrected_kj_per_mol_atoms=-62.7 volume_a3_per_atom=47.31 n_ef_per_ev_atom=0.00 pbc="T T T"
I 12.991 1.991 1.167
I 39.086 5.990 3.512
I 5.577 0.855 0.501
I 31.672 4.853 2.846
Pb 18.625 2.854 1.674
Pb 26.038 3.990 2.340



10
Lattice="5.134 0.001 -0.002 -0.002 7.052 -0.419 0.002 -0.109 6.868" Properties=species:S:1:pos:R:3 comment="Ho3AlNi PBE optimized geometry" magnetic_moment_mub_per_fu=0.00 crystal_system=monoclinic volume_a3_per_atom=24.84 n_ef_per_ev_atom=1.03 formation_energy_ev_per_atom=-0.2226 pbc="T T T"
Al 0.223 0.795 6.288
Al 0.220 5.281 2.381
Ho 2.787 6.851 4.106
Ho 0.221 1.234 2.674
Ho 0.223 4.400 5.552
Ho 2.786 6.219 0.672
Ho 2.787 3.569 3.003
Ho 2.788 2.429 0.005
Ni 2.790 4.538 5.404
Ni 0.222 3.243 1.083



4
Lattice="5.319 0.000 0.000 2.659 4.606 0.000 2.659 1.535 4.343" Properties=species:S:1:pos:R:3 comment="Pm2MnSb PBE optimized geometry" magnetic_moment_mub_per_fu=3.28 crystal_system=cubic formation_energy_uncorrected_kj_per_mol_atoms=-22.2 e_above_lowest_polymorph_mev_per_atom=71 volume_a3_per_atom=26.60 n_ef_per_ev_atom=1.34 pbc="T T T"
Pm 7.978 4.606 3.257
Pm 2.659 1.535 1.086
Mn 0.000 0.000 0.000
Sb 5.319 3.071 2.171



4
Lattice="1.558 0.000 7.584 -0.779 1.350 7.584 -0.779 -1.350 7.584" Properties=species:S:1:pos:R:3 comment="LiReF2 PBE optimized geometry" magnetic_moment_mub_per_fu=0.00 crystal_system=trigonal formation_energy_uncorrected_kj_per_mol_atoms=-83.8 e_above_lowest_polymorph_mev_per_atom=964 volume_a3_per_atom=11.96 n_ef_per_ev_atom=0.51 pbc="T T T"
F 0.000 0.000 21.069
F 0.000 0.000 1.684
Li 0.000 0.000 0.000
Re 0.000 0.000 11.377



12
Lattice="5.079 -0.113 -0.003 -0.112 5.087 -0.005 0.004 0.008 7.106" Properties=species:S:1:pos:R:3 comment="Ca2PuPaO8 PBE optimized geometry" magnetic_moment_mub_per_fu=0.99 crystal_system=monoclinic formation_energy_uncorrected_kj_per_mol_atoms=-288.6 volume_a3_per_atom=15.29 pbc="T T T"
O 3.536 3.551 3.547
O 0.799 4.170 1.627
O 3.609 3.627 7.100
O 1.362 1.354 -0.002
O 4.169 0.807 1.628
O 4.171 0.811 5.471
O 1.435 1.430 3.551
O 0.802 4.175 5.469
Pu 0.000 0.000 0.000
Pa 0.002 0.004 3.553
Ca 2.485 2.489 1.778
Ca 2.486 2.493 5.320